DFT (GGA-PBE) results for a geometry-optimized LaY8Er3 structure.

Geometry as POSCAR:
```
LaY8Er3
1.0
8.250 -1.342 -2.308
-5.905 6.224 -1.256
1.146 1.342 8.490
La Y Er
1 8 3
Cartesian
0.000 0.000 0.000 La
3.027 1.188 0.750 Y
0.462 5.037 4.177 Y
-4.018 5.036 1.228 Y
7.509 1.187 3.698 Y
0.394 1.901 2.865 Y
5.464 0.560 -1.537 Y
-1.973 5.665 6.462 Y
3.096 4.322 2.062 Y
-0.075 4.423 0.113 Er
3.565 1.801 4.813 Er
-2.380 3.783 3.617 Er
```

Properties
E_form: 33 kJ/mol of atoms
density: 5.4 Mg/m³
density of states at the Fermi level: 17.5 states/eV/cell
total DFT energy (no corrections): -5.51 eV/atom